No. 1
Material: HfTlSe2
Method: DFT, PBE
State: optimized geometry

Values from the calculation:
Space-group type: P3m1, No. 156
DOS at the Fermi energy (states/eV/cell): 3.242

Cell lengths 4.097, 4.097, 8.687 Å; angles 90.00, 90.00, 120.00 degrees
Each line ends with the local moment (μB).
Fractional coordinates of all 4 atoms:
Hf 0.333 0.667 0.451  0.40
Tl 0.000 0.000 0.950  0.01
Se 0.333 0.667 0.736  0.01
Se 0.667 0.333 0.318  0.00

---

No. 2
Material: HfTlSe2
Method: DFT, PBE
State: optimized geometry

Values from the calculation:
Space-group type: Cmcm, No. 63
DOS at the Fermi energy (states/eV/cell): 1.968

Cell lengths 11.764, 11.764, 5.273 Å; angles 90.00, 90.00, 160.86 degrees
Fractional coordinates of all 8 atoms:
Se 0.946 0.054 0.250
Se 0.829 0.171 0.750
Se 0.171 0.829 0.250
Se 0.054 0.946 0.750
Tl 0.317 0.683 0.250
Tl 0.683 0.317 0.750
Hf 0.063 0.937 0.250
Hf 0.937 0.063 0.750

---

No. 3
Material: HfTlSe2
Method: DFT, PBE
State: optimized geometry

Values from the calculation:
Space-group type: C2/c, No. 15
DOS at the Fermi energy (states/eV/cell): 10.406

Cell lengths 19.810, 6.948, 6.948 Å; angles 88.51, 104.56, 75.44 degrees
Fractional coordinates of all 32 atoms:
Se 0.250 0.328 0.828
Se 0.428 0.696 0.150
Se 0.072 0.650 0.196
Se 0.749 0.193 0.186
Se 0.572 0.304 0.850
Se 0.750 0.204 0.704
Se 0.250 0.796 0.296
Se 0.427 0.164 0.238
Se 0.927 0.262 0.336
Se 0.073 0.738 0.664
Se 0.249 0.314 0.307
Se 0.751 0.686 0.693
Se 0.573 0.836 0.762
Se 0.928 0.350 0.804
Se 0.750 0.672 0.172
Se 0.251 0.807 0.814
Hf 0.170 0.622 0.002
Hf 0.186 0.608 0.514
Hf 0.686 0.986 0.892
Hf 0.670 0.498 0.878
Hf 0.314 0.014 0.108
Hf 0.830 0.378 0.998
Hf 0.330 0.502 0.122
Hf 0.814 0.392 0.486
Tl 0.912 0.821 0.808
Tl 0.588 0.812 0.311
Tl 0.088 0.179 0.192
Tl 0.912 0.811 0.312
Tl 0.588 0.308 0.321
Tl 0.412 0.188 0.689
Tl 0.088 0.189 0.688
Tl 0.412 0.692 0.679

---

No. 4
Material: Hf2TlSe
Method: DFT, PBE
State: optimized geometry

Values from the calculation:
Space-group type: R3m, No. 160
Polymorph energy (0 for the lowest one) (eV per atom): 0.000
DOS at the Fermi energy (states/eV/cell): 4.185

Cell lengths 3.414, 3.414, 8.821 Å; angles 78.84, 78.84, 60.00 degrees
Fractional coordinates of all 4 atoms:
Tl 0.500 0.500 0.500
Hf 0.261 0.261 0.218
Hf 0.073 0.073 0.782
Se 0.667 0.667 0.000

---

Number 1: calculated volume 31.6 A^3/atom, raw formation energy -0.61 eV/atom. Number 2: calculated volume 29.9 A^3/atom, raw formation energy -0.57 eV/atom. Number 3: calculated volume 27.9 A^3/atom, raw formation energy -0.82 eV/atom. Number 4: calculated volume 21.7 A^3/atom, raw formation energy -0.38 eV/atom.